[1]
! Ho4BiPd15 | Alexandria | PBE | optimized geometry; values from VASP
! **DFT total energy**: -115.4 eV/cell
! **Energy of formation**: -768 meV per atom
! **Calculated volume**: 349 Å³ per cell
&SYSTEM
  ibrav = 0, nat = 20, ntyp = 3
/
ATOMIC_SPECIES
Ho 164.93 Ho.upf
Bi 208.98 Bi.upf
Pd 106.42 Pd.upf
CELL_PARAMETERS angstrom
4.115 0.000 0.000
0.000 4.115 0.000
0.000 0.000 20.616
ATOMIC_POSITIONS angstrom
Ho 0.000 0.000 4.177
Ho 0.000 0.000 8.258
Ho 0.000 0.000 12.358
Ho 0.000 0.000 16.439
Bi 0.000 0.000 0.000
Pd 2.057 2.057 0.000
Pd 2.057 2.057 4.089
Pd 2.057 2.057 8.243
Pd 2.057 2.057 12.373
Pd 2.057 2.057 16.527
Pd 2.057 0.000 2.066
Pd 2.057 0.000 6.184
Pd 2.057 0.000 10.308
Pd 2.057 0.000 14.432
Pd 2.057 0.000 18.550
Pd 0.000 2.057 2.066
Pd 0.000 2.057 6.184
Pd 0.000 2.057 10.308
Pd 0.000 2.057 14.432
Pd 0.000 2.057 18.550

=====

[2]
! Ho8Bi2Pd | Alexandria | PBE | optimized geometry; values from VASP
! **DFT total energy**: -54.0 eV/cell
! **Energy of formation**: -401 meV per atom
! **Calculated volume**: 316 Å³ per cell
&SYSTEM
  ibrav = 0, nat = 11, ntyp = 3
/
ATOMIC_SPECIES
Ho 164.93 Ho.upf
Bi 208.98 Bi.upf
Pd 106.42 Pd.upf
CELL_PARAMETERS angstrom
-0.692 2.222 -4.542
-6.551 1.170 1.570
2.352 6.936 5.901
ATOMIC_POSITIONS angstrom
Ho -1.176 7.092 3.648
Ho -0.319 3.603 -1.056
Ho -3.355 6.469 0.808
Ho -1.482 0.701 0.568
Ho -1.535 3.858 2.121
Ho -4.571 6.724 3.985
Ho -3.714 3.235 -0.719
Ho -3.408 9.626 2.361
Bi -0.175 6.602 0.389
Bi -4.715 3.725 2.540
Pd -0.346 1.111 -2.271

=====

[3]
! Ho3BiPd | Alexandria | PBE | optimized geometry; values from VASP
! **DFT total energy**: -52.2 eV/cell
! **Energy of formation**: -654 meV per atom
! **Calculated volume**: 278 Å³ per cell
&SYSTEM
  ibrav = 0, nat = 10, ntyp = 3
/
ATOMIC_SPECIES
Ho 164.93 Ho.upf
Bi 208.98 Bi.upf
Pd 106.42 Pd.upf
CELL_PARAMETERS angstrom
4.163 0.000 0.000
-2.082 7.798 0.149
0.000 -0.469 8.563
ATOMIC_POSITIONS angstrom
Ho 2.082 6.950 2.633
Ho 0.000 0.379 6.078
Ho 0.000 5.705 8.248
Ho 2.082 1.624 0.464
Ho 0.000 3.804 2.547
Ho 2.082 3.525 6.165
Bi 2.082 1.522 3.701
Bi 0.000 5.807 5.011
Pd 2.082 4.637 0.763
Pd 0.000 2.692 7.949

=====

[4]
! HoBi2Pd | Alexandria | PBE | optimized geometry; values from VASP
! **DFT total energy**: -17.8 eV/cell
! **Energy of formation**: -68 meV per atom
! **Calculated volume**: 112 Å³ per cell
&SYSTEM
  ibrav = 0, nat = 4, ntyp = 3
/
ATOMIC_SPECIES
Bi 208.98 Bi.upf
Pd 106.42 Pd.upf
Ho 164.93 Ho.upf
CELL_PARAMETERS angstrom
3.537 0.000 0.000
1.768 3.063 0.000
1.768 1.021 10.345
ATOMIC_POSITIONS angstrom
Bi 1.768 1.021 7.192
Bi 5.305 3.063 3.153
Pd 3.537 2.042 5.173
Ho 0.000 0.000 0.000

=====

[5]
! Ho4BiPd | Alexandria | PBE | optimized geometry; values from VASP
! **DFT total energy**: -59.9 eV/cell
! **Energy of formation**: -425 meV per atom
! **Energy above the most stable polymorph in this dataset**: 139 meV/atom
! **Calculated volume**: 353 Å³ per cell
&SYSTEM
  ibrav = 0, nat = 12, ntyp = 3
/
ATOMIC_SPECIES
Ho 164.93 Ho.upf
Bi 208.98 Bi.upf
Pd 106.42 Pd.upf
CELL_PARAMETERS angstrom
5.503 0.000 0.000
0.000 6.374 0.000
-2.751 0.000 10.058
ATOMIC_POSITIONS angstrom
Ho 2.751 2.053 7.819
Ho 0.000 5.241 2.240
Ho 0.000 5.242 9.039
Ho 2.751 2.055 1.019
Ho 2.751 3.640 4.066
Ho 0.000 0.453 5.992
Ho 2.751 0.468 4.066
Ho 0.000 3.655 5.993
Bi 2.751 5.241 7.076
Bi 0.000 2.054 2.982
Pd 2.751 5.241 1.683
Pd 0.000 2.054 8.376

=====

[6]
! Ho3BiPd12 | Alexandria | PBE | optimized geometry; values from VASP
! **DFT total energy**: -91.7 eV/cell
! **Energy of formation**: -736 meV per atom
! **Calculated volume**: 280 Å³ per cell
&SYSTEM
  ibrav = 0, nat = 16, ntyp = 3
/
ATOMIC_SPECIES
Ho 164.93 Ho.upf
Bi 208.98 Bi.upf
Pd 106.42 Pd.upf
CELL_PARAMETERS angstrom
4.118 0.000 0.000
0.000 4.118 0.000
0.000 0.000 16.482
ATOMIC_POSITIONS angstrom
Ho 0.000 0.000 4.180
Ho 0.000 0.000 8.241
Ho 0.000 0.000 12.302
Bi 0.000 0.000 0.000
Pd 2.059 2.059 0.000
Pd 2.059 2.059 4.083
Pd 2.059 2.059 8.241
Pd 2.059 2.059 12.399
Pd 2.059 0.000 2.060
Pd 2.059 0.000 6.181
Pd 2.059 0.000 10.301
Pd 2.059 0.000 14.422
Pd 0.000 2.059 2.060
Pd 0.000 2.059 6.181
Pd 0.000 2.059 10.301
Pd 0.000 2.059 14.422

=====

[7]
! Ho2BiPd8 | Alexandria | PBE | optimized geometry; values from VASP
! **DFT total energy**: -61.0 eV/cell
! **Energy of formation**: -583 meV per atom
! **Calculated volume**: 207 Å³ per cell
&SYSTEM
  ibrav = 0, nat = 11, ntyp = 3
/
ATOMIC_SPECIES
Ho 164.93 Ho.upf
Bi 208.98 Bi.upf
Pd 106.42 Pd.upf
CELL_PARAMETERS angstrom
-4.705 0.587 0.622
0.711 -0.526 5.873
2.964 7.160 -2.716
ATOMIC_POSITIONS angstrom
Ho -1.747 4.796 0.644
Ho 0.717 2.425 3.135
Bi -2.353 0.293 0.311
Pd 0.854 4.972 1.770
Pd -1.546 2.002 4.799
Pd -1.383 4.603 3.584
Pd -1.558 7.611 -0.584
Pd 0.352 2.618 0.194
Pd 0.516 5.219 -1.021
Pd -1.884 2.249 2.008
Pd 0.528 -0.390 4.363

=====

[8]
! HoBi4Pd15 | Alexandria | PBE | optimized geometry; values from VASP
! **DFT total energy**: -105.3 eV/cell
! **Energy of formation**: -368 meV per atom
! **Calculated volume**: 353 Å³ per cell
&SYSTEM
  ibrav = 0, nat = 20, ntyp = 3
/
ATOMIC_SPECIES
Ho 164.93 Ho.upf
Bi 208.98 Bi.upf
Pd 106.42 Pd.upf
CELL_PARAMETERS angstrom
-2.208 1.002 -3.352
-3.434 0.139 2.303
3.345 20.004 3.776
ATOMIC_POSITIONS angstrom
Ho 0.000 0.000 0.000
Bi 0.661 3.950 0.746
Bi 1.336 7.990 1.508
Bi 2.009 12.015 2.268
Bi 2.685 16.054 3.030
Pd -2.821 0.571 -0.524
Pd -2.147 4.597 0.236
Pd -1.484 8.564 0.984
Pd -0.812 12.582 1.743
Pd -0.149 16.548 2.491
Pd -0.773 2.481 -1.302
Pd -0.103 6.489 -0.546
Pd 0.569 10.503 0.212
Pd 1.240 14.517 0.970
Pd 1.910 18.525 1.726
Pd -1.386 2.050 1.525
Pd -0.715 6.058 2.282
Pd -0.044 10.072 3.040
Pd 0.627 14.086 3.797
Pd 1.297 18.094 4.554

=====

[9]
! Ho4BiPd | Alexandria | PBE | optimized geometry; values from VASP
! **DFT total energy**: -61.5 eV/cell
! **Energy of formation**: -564 meV per atom
! **Energy above the most stable polymorph in this dataset**: 0 meV/atom
! **Calculated volume**: 336 Å³ per cell
&SYSTEM
  ibrav = 0, nat = 12, ntyp = 3
/
ATOMIC_SPECIES
Ho 164.93 Ho.upf
Bi 208.98 Bi.upf
Pd 106.42 Pd.upf
CELL_PARAMETERS angstrom
5.801 0.000 -1.997
0.000 6.634 0.000
-0.191 0.000 8.807
ATOMIC_POSITIONS angstrom
Ho 3.243 1.659 2.445
Ho 2.367 4.976 4.366
Ho 3.347 1.659 6.570
Ho 2.263 4.976 0.240
Ho 5.711 0.007 0.580
Ho -0.101 3.324 6.230
Ho 5.711 3.310 0.580
Ho -0.101 6.628 6.230
Bi 1.209 1.659 0.000
Bi 4.401 4.976 6.810
Pd 1.393 1.659 4.484
Pd 4.217 4.976 2.327

=====

[10]
! HoBi3Pd12 | Alexandria | PBE | optimized geometry; values from VASP
! **DFT total energy**: -85.0 eV/cell
! **Energy of formation**: -405 meV per atom
! **Calculated volume**: 282 Å³ per cell
&SYSTEM
  ibrav = 0, nat = 16, ntyp = 3
/
ATOMIC_SPECIES
Ho 164.93 Ho.upf
Bi 208.98 Bi.upf
Pd 106.42 Pd.upf
CELL_PARAMETERS angstrom
-1.920 -0.029 -3.662
2.064 -3.424 -1.055
-12.071 -9.248 6.400
ATOMIC_POSITIONS angstrom
Ho 0.000 0.000 0.000
Bi -2.984 -2.286 1.582
Bi -6.035 -4.624 3.200
Bi -9.087 -6.962 4.818
Pd 0.072 -1.726 -2.359
Pd -2.973 -4.060 -0.744
Pd -5.963 -6.351 0.841
Pd -8.953 -8.641 2.426
Pd -2.457 -1.162 -1.037
Pd -5.482 -3.480 0.567
Pd -8.508 -5.798 2.171
Pd -11.533 -8.115 3.774
Pd -0.465 -2.859 0.266
Pd -3.491 -5.177 1.870
Pd -6.516 -7.495 3.474
Pd -9.541 -9.813 5.078

=====

[11]
! Ho2BiPd | Alexandria | PBE | optimized geometry; values from VASP
! **DFT total energy**: -21.0 eV/cell
! **Energy of formation**: -699 meV per atom
! **Energy above the most stable polymorph in this dataset**: 0 meV/atom
! **Calculated volume**: 101 Å³ per cell
&SYSTEM
  ibrav = 0, nat = 4, ntyp = 3
/
ATOMIC_SPECIES
Bi 208.98 Bi.upf
Pd 106.42 Pd.upf
Ho 164.93 Ho.upf
CELL_PARAMETERS angstrom
-0.444 2.066 3.007
2.380 -2.132 1.816
5.603 4.391 -2.190
ATOMIC_POSITIONS angstrom
Bi 3.770 2.162 1.316
Pd 0.968 -0.033 2.411
Ho 4.368 3.423 -1.707
Ho 1.235 0.968 -0.483

=====

[12]
! HoBiPd4 | Alexandria | PBE | optimized geometry; values from VASP
! **DFT total energy**: -65.2 eV/cell
! **Energy of formation**: -562 meV per atom
! **Energy above the most stable polymorph in this dataset**: 0 meV/atom
! **Calculated volume**: 231 Å³ per cell
&SYSTEM
  ibrav = 0, nat = 12, ntyp = 3
/
ATOMIC_SPECIES
Ho 164.93 Ho.upf
Bi 208.98 Bi.upf
Pd 106.42 Pd.upf
CELL_PARAMETERS angstrom
-1.262 -1.455 5.344
6.009 -3.875 -1.969
3.365 4.230 1.947
ATOMIC_POSITIONS angstrom
Ho 4.456 0.266 4.435
Ho 3.656 -1.366 0.887
Bi 7.067 -1.077 2.840
Bi 1.045 -0.023 2.482
Pd 5.252 0.872 1.742
Pd 2.860 -1.972 3.580
Pd 3.019 2.151 2.822
Pd 5.093 -3.251 2.500
Pd 8.035 1.009 0.826
Pd 1.741 -0.018 5.458
Pd 6.371 -1.082 -0.136
Pd 0.077 -2.109 4.496